# PaAu2O4F2 (PBE, relaxed)
# Energy ... -6.0272 eV per atom
# Spin magnetization ... 0.000 μB/atom
# Calculated volume ... 16.25 Å³/atom
data_PaAu2O4F2
_chemical_formula_sum 'Pa2 Au4 O8 F4'
_cell_length_a 12.125
_cell_length_b 4.030
_cell_length_c 6.081
_cell_angle_alpha 90.00
_cell_angle_beta 100.03
_cell_angle_gamma 90.00
_symmetry_space_group_name_H-M 'C 1 2/m 1'
_symmetry_Int_Tables_number 12
loop_
_symmetry_equiv_pos_as_xyz
'x,y,z'
'-x,-y,-z'
'-x,y,-z'
'x,-y,z'
'x+1/2,y+1/2,z'
'-x+1/2,-y+1/2,-z'
'-x+1/2,y+1/2,-z'
'x+1/2,-y+1/2,z'
loop_
_atom_site_label
_atom_site_type_symbol
_atom_site_fract_x
_atom_site_fract_y
_atom_site_fract_z
_atom_site_occupancy
Pa1 Pa 0.000 0.000 0.000 1
Au1 Au 0.210 0.500 0.243 1
O1 O 0.042 0.500 0.199 1
O2 O 0.178 0.000 0.196 1
F1 F 0.112 0.000 0.736 1

# Pr2AuO4F (PBE, relaxed)
# Energy ... -6.5960 eV per atom
# Spin magnetization ... 0.000 μB/atom
# Calculated volume ... 14.23 Å³/atom
data_Pr2AuO4F
_chemical_formula_sum 'Pr4 Au2 O8 F2'
_cell_length_a 10.374
_cell_length_b 3.600
_cell_length_c 6.686
_cell_angle_alpha 90.00
_cell_angle_beta 114.23
_cell_angle_gamma 90.00
_symmetry_space_group_name_H-M 'C 1 2/m 1'
_symmetry_Int_Tables_number 12
loop_
_symmetry_equiv_pos_as_xyz
'x,y,z'
'-x,-y,-z'
'-x,y,-z'
'x,-y,z'
'x+1/2,y+1/2,z'
'-x+1/2,-y+1/2,-z'
'-x+1/2,y+1/2,-z'
'x+1/2,-y+1/2,z'
loop_
_atom_site_label
_atom_site_type_symbol
_atom_site_fract_x
_atom_site_fract_y
_atom_site_fract_z
_atom_site_occupancy
Pr1 Pr 0.185 0.000 0.210 1
Au1 Au 0.000 0.000 0.500 1
O1 O 0.133 0.500 0.434 1
O2 O 0.162 0.000 0.810 1
F1 F 0.000 0.500 0.000 1

How do the records compare in formation energy without anion corrections? In the order shown, they have -1.624; -2.278 eV per atom.
How do the records compare in density of states at the Fermi level? In the order shown, they have 0.28; 0.12 states/eV per atom.